No. 1
A plane-wave DFT calculation with PBE-GGA was carried out for a relaxed structure of LiZr4Al.

abc: 8.145 8.145 8.145
angles: 90.00 90.00 90.00
Space group F-43m (No. 216)
Symmetry-distinct sites (fractional):
1 Li 0.000 0.000 0.000 [4 per cell]
2 Zr 0.124 0.124 0.624 [16 per cell]
3 Al 0.250 0.250 0.250 [4 per cell]

No. 2
A plane-wave DFT calculation with PBE-GGA was carried out for a relaxed structure of Cr2GeB.

Computed properties:
energy above the most stable polymorph in this dataset = 0 meV/atom

abc: 5.597 5.597 5.597
angles: 90.00 90.00 90.00
Space group Fm-3m (No. 225)
Symmetry-distinct sites (fractional):
1 Cr 0.250 0.250 0.250 [8 per cell]
2 Ge 0.000 0.000 0.000 [4 per cell]
3 B 0.000 0.000 0.500 [4 per cell]

Calculated VASP energy, -151.06; -114.87 eV/cell (same order as the records).